Entry from the Alexandria database: a geometry-optimized AlZn2Au structure (PBE-GGA).

Cell: 4.6643 4.6643 4.5766 Å, 79.64 79.64 42.13°
Sites, in units of the cell vectors:
Zn 0.0001 0.0001 0.9821
Zn 0.7507 0.7507 0.7638
Au 0.2451 0.2451 0.2662
Al 0.5041 0.5041 0.4879

Output
SG	Cm (8)
raw total energy	-2.53	eV/atom
magnetization	0.00	μB/cell